The following is a GGA-PBE calculation of crystalline Tl3RuO6 at its relaxed geometry, from the Alexandria database.

Lattice parameters (Å, degrees): 6.0806 8.3666 8.3666 100.61 90.00 90.00
Closest atoms and distances in Å follow each position.
Element x y z (fractional)
1 Ru 0.0603 0.2063 0.7937  4 O 1.74-1.79
2 Ru 0.5603 0.7937 0.2063  4 O 1.74-1.79
3 O 0.1851 0.0828 0.9172  1 Ru 1.76
4 O 0.1592 0.3785 0.3421  4 Tl 2.26-2.50
5 O 0.6844 0.5987 0.1430  1 Ru 1.79
6 O 0.6592 0.3421 0.3785  4 Tl 2.26-2.50
7 O 0.7748 0.2136 0.7864  1 Ru 1.74
8 O 0.1844 0.1430 0.5987  1 Ru 1.79
9 O 0.2748 0.7864 0.2136  1 Ru 1.74
10 O 0.6592 0.6215 0.6579  4 Tl 2.26-2.50
11 O 0.1592 0.6579 0.6215  4 Tl 2.26-2.50
12 O 0.1844 0.4013 0.8570  1 Ru 1.79
13 O 0.6851 0.9172 0.0828  1 Ru 1.76
14 O 0.6844 0.8570 0.4013  1 Ru 1.79
15 Tl 0.9426 0.1216 0.3220  3 O 2.50-2.72
16 Tl 0.9426 0.6780 0.8784  3 O 2.50-2.72
17 Tl 0.8928 0.5562 0.4438  4 O 2.26-2.27
18 Tl 0.3928 0.4438 0.5562  4 O 2.26-2.27
19 Tl 0.4426 0.3220 0.1216  3 O 2.50-2.72
20 Tl 0.4426 0.8784 0.6780  3 O 2.50-2.72

Results
Space group: No. 36
Mass density, g/cm³: 6.4
Uncorrected formation energy, meV per atom: -675
Total moment, μB per formula unit: 0.99